First-principles (PBE) data for an optimized crystal structure of SmNbHg, as listed in the Open Quantum Materials Database.

```
SmNbHg
1.0
-2.914 -4.015 0.146
-4.916 0.517 0.442
-2.962 -1.058 -3.839
Sm Nb Hg
1 1 1
Direct
0.000 0.000 0.000
0.750 0.750 0.750
0.250 0.250 0.250
```

## Properties
Calculated total energy ... -0.297 Ry per atom
Energy of formation from the pure elements ... 0.99 eV per atom
Distance to the lowest polymorph of the same formula ... 393 meV/atom